w.
DFT (PBE) results for crystalline K2BeTe at its relaxed geometry.

Geometry as POSCAR:
```
K2BeTe
1.0
-2.144 1.012 -2.512
2.542 -2.467 -3.164
-4.717 -6.609 1.363
Be K Te
1 2 1
direct
0.500 0.500 0.750
0.000 0.000 0.007
0.000 0.000 0.493
0.500 0.500 0.250
```

## Properties
As for the spin magnetization: 0.000 μB per formula unit.

***

x.
DFT (PBE) results for crystalline K2BeTe at its relaxed geometry.

Geometry as POSCAR:
```
K2BeTe
1.0
3.804 0.008 0.000
-0.009 3.804 0.000
0.000 0.000 9.997
Be K Te
1 2 1
direct
0.500 0.500 0.646
0.000 0.000 0.931
0.500 0.500 0.329
0.000 0.000 0.594
```

## Properties
As for the spin magnetization: 0.001 μB per formula unit.

***

y.
DFT (PBE) results for crystalline K2BeTe at its relaxed geometry.

Geometry as POSCAR:
```
K2BeTe
1.0
7.175 0.010 -0.021
6.058 3.844 -0.021
2.091 0.609 4.996
Be K Te
1 2 1
direct
0.806 0.806 0.693
0.040 0.040 0.960
0.227 0.227 0.273
0.427 0.427 0.573
```

## Properties
As for the spin magnetization: 0.000 μB per formula unit.

***

z.
DFT (PBE) results for crystalline K2BeTe at its relaxed geometry.

Geometry as POSCAR:
```
K2BeTe
1.0
4.425 0.000 0.000
0.000 4.425 0.000
0.000 0.000 7.118
Be K Te
1 2 1
direct
0.500 0.500 0.738
0.000 0.000 0.958
0.500 0.500 0.299
0.000 0.000 0.505
```

## Properties
As for the spin magnetization: 0.000 μB per formula unit.

***

Ordering by calculated energy gives the sequence y, x, w, z, with the first entry being the most stable.

***

w.
DFT (PBE) results for crystalline KBeTe at its relaxed geometry.

Geometry as POSCAR:
```
KBeTe
1.0
-2.978 2.068 -3.832
-5.236 -0.638 0.094
-3.141 4.112 1.029
Be K Te
1 1 1
direct
0.000 0.000 0.000
0.500 0.500 0.500
0.750 0.750 0.750
```

## Properties
As for the spin magnetization: 0.000 μB per formula unit.

***

x.
DFT (PBE) results for crystalline KBeTe at its relaxed geometry.

Geometry as POSCAR:
```
KBeTe
1.0
-4.222 2.989 4.130
-3.712 -0.481 5.461
2.063 1.379 2.813
Be K Te
1 1 1
direct
0.067 0.067 0.933
0.327 0.327 0.673
0.606 0.606 0.394
```

## Properties
As for the spin magnetization: 0.436 μB per formula unit.

***

y.
DFT (PBE) results for crystalline KBeTe at its relaxed geometry.

Geometry as POSCAR:
```
KBeTe
1.0
-4.911 0.228 -2.092
2.238 -4.736 1.054
-1.250 0.064 2.940
Be K Te
1 1 1
direct
0.000 0.000 0.833
0.667 0.333 0.334
0.333 0.667 0.833
```

## Properties
As for the spin magnetization: 0.280 μB per formula unit.

***

Ordering by calculated energy gives the sequence x, y, w, with the first entry being the most stable.

***

w.
DFT (PBE) results for crystalline KBeTe at its relaxed geometry.

Geometry as POSCAR:
```
KBeTe
1.0
5.263 0.000 0.000
2.632 4.558 0.000
2.632 1.519 4.298
Be K Te
1 1 1
direct
0.500 0.500 0.500
0.750 0.750 0.750
0.000 0.000 0.000
```

## Properties
As for the spin magnetization: 0.000 μB per formula unit.

***

x.
DFT (PBE) results for crystalline KBeTe at its relaxed geometry.

Geometry as POSCAR:
```
KBeTe
1.0
4.098 0.000 0.000
-2.049 3.549 0.000
0.000 0.000 5.988
Be K Te
1 1 1
direct
0.000 0.000 0.901
0.667 0.333 0.313
0.333 0.667 0.786
```

## Properties
As for the spin magnetization: 0.813 μB per formula unit.

***

y.
DFT (PBE) results for crystalline KBeTe at its relaxed geometry.

Geometry as POSCAR:
```
KBeTe
1.0
4.963 0.000 0.000
2.482 4.299 0.000
2.482 1.433 4.053
Be K Te
1 1 1
direct
0.750 0.750 0.750
0.000 0.000 0.000
0.500 0.500 0.500
```

## Properties
As for the spin magnetization: 0.000 μB per formula unit.

***

Ordering by calculated energy gives the sequence x, y, w, with the first entry being the most stable.

***

w.
DFT (PBE) results for crystalline KBe3Te at its relaxed geometry.

Geometry as POSCAR:
```
KBe3Te
1.0
-3.549 3.568 -0.407
-1.559 -2.047 -4.344
-3.235 -2.928 2.540
Be K Te
3 1 1
direct
0.000 0.500 0.000
0.000 0.000 0.500
0.500 0.000 0.000
0.500 0.500 0.500
0.000 0.000 0.000
```

## Properties
As for the spin magnetization: 0.000 μB per formula unit.

***

x.
DFT (PBE) results for crystalline KBe3Te at its relaxed geometry.

Geometry as POSCAR:
```
KBe3Te
1.0
5.311 0.000 0.000
0.000 5.311 0.000
0.000 0.000 5.311
Be K Te
3 1 1
direct
0.000 0.500 0.000
0.000 0.000 0.500
0.500 0.000 0.000
0.000 0.000 0.000
0.500 0.500 0.500
```

## Properties
As for the spin magnetization: 0.000 μB per formula unit.

***

Ordering by calculated energy gives the sequence w, x, with the first entry being the most stable.

***

w.
DFT (PBE) results for crystalline KTiBe2 at its relaxed geometry.

Geometry as POSCAR:
```
KTiBe2
1.0
-2.919 -6.680 -1.434
-0.820 -1.205 7.285
-4.728 -2.669 2.814
Be K Ti
4 2 2
direct
0.683 0.125 0.250
0.067 0.625 0.250
0.375 0.317 0.750
0.875 0.933 0.750
0.500 0.500 0.000
0.250 0.750 0.500
0.000 0.000 0.000
0.750 0.250 0.500
```

## Properties
As for the spin magnetization: 1.248 μB per formula unit.

***

x.
DFT (PBE) results for crystalline KTiBe2 at its relaxed geometry.

Geometry as POSCAR:
```
KTiBe2
1.0
0.000 3.328 3.328
3.328 0.000 3.328
3.328 3.328 0.000
Be K Ti
2 1 1
direct
0.250 0.250 0.250
0.750 0.750 0.750
0.000 0.000 0.000
0.500 0.500 0.500
```

## Properties
As for the spin magnetization: 0.000 μB per formula unit.

***

Ordering by calculated energy gives the sequence x, w, with the first entry being the most stable.

***

w.
DFT (PBE) results for crystalline K2BeTl at its relaxed geometry.

Geometry as POSCAR:
```
K2BeTl
1.0
-4.413 0.448 1.055
0.943 -0.983 4.363
1.914 5.588 5.634
Be Tl K
1 1 2
direct
0.500 0.750 0.750
0.500 0.250 0.250
0.000 0.008 0.990
0.000 0.492 0.510
```

## Properties
As for the spin magnetization: 0.000 μB per formula unit.

***

x.
DFT (PBE) results for crystalline K2BeTl at its relaxed geometry.

Geometry as POSCAR:
```
K2BeTl
1.0
-3.688 -1.108 0.630
1.020 -2.035 -3.170
3.318 -7.645 5.977
Be Tl K
1 1 2
direct
0.500 0.500 0.654
0.000 0.000 0.595
0.000 0.000 0.927
0.500 0.500 0.324
```

## Properties
As for the spin magnetization: 0.000 μB per formula unit.

***

Ordering by calculated energy gives the sequence x, w, with the first entry being the most stable.

***

w.
DFT (PBE) results for crystalline KBeTl3 at its relaxed geometry.

Geometry as POSCAR:
```
KBeTl3
1.0
5.254 0.000 0.000
0.000 5.254 0.000
0.000 0.000 5.254
Be Tl K
1 3 1
direct
0.000 0.000 0.000
0.000 0.500 0.000
0.000 0.000 0.500
0.500 0.000 0.000
0.500 0.500 0.500
```

## Properties
As for the spin magnetization: 0.000 μB per formula unit.

***

x.
DFT (PBE) results for crystalline KBeTl3 at its relaxed geometry.

Geometry as POSCAR:
```
KBeTl3
1.0
6.288 0.000 0.000
0.000 6.288 0.000
0.000 0.000 6.288
Be Tl K
1 3 1
direct
0.500 0.500 0.500
0.000 0.500 0.000
0.000 0.000 0.500
0.500 0.000 0.000
0.000 0.000 0.000
```

## Properties
As for the spin magnetization: 0.000 μB per formula unit.

***

Ordering by calculated energy gives the sequence w, x, with the first entry being the most stable.

***

w.
DFT (PBE) results for crystalline KBeTl2 at its relaxed geometry.

Geometry as POSCAR:
```
KBeTl2
1.0
4.381 -0.010 0.012
2.208 3.784 0.012
2.150 1.231 7.216
Be Tl K
1 2 1
direct
0.250 0.250 0.250
0.964 0.964 0.106
0.536 0.536 0.394
0.750 0.750 0.750
```

## Properties
As for the spin magnetization: 0.000 μB per formula unit.

***

x.
DFT (PBE) results for crystalline KBeTl2 at its relaxed geometry.

Geometry as POSCAR:
```
KBeTl2
1.0
-1.144 2.384 3.887
-1.289 -3.430 1.724
5.569 -2.799 3.356
Be Tl K
1 2 1
direct
0.000 0.390 0.342
0.000 0.025 0.074
0.500 0.400 0.329
0.500 0.685 0.755
```

## Properties
As for the spin magnetization: 0.000 μB per formula unit.

***

y.
DFT (PBE) results for crystalline KBeTl2 at its relaxed geometry.

Geometry as POSCAR:
```
KBeTl2
1.0
-4.074 -2.085 1.888
2.818 -3.062 2.700
0.028 3.081 3.463
Be Tl K
1 2 1
direct
0.500 0.000 0.500
0.000 0.000 0.000
0.500 0.500 0.000
0.000 0.500 0.500
```

## Properties
As for the spin magnetization: 0.000 μB per formula unit.

***

z.
DFT (PBE) results for crystalline KBeTl2 at its relaxed geometry.

Geometry as POSCAR:
```
KBeTl2
1.0
-1.176 0.933 -3.211
-1.734 -2.987 -0.233
-6.919 3.734 3.620
Be Tl K
1 2 1
direct
0.500 0.500 0.250
0.000 0.000 0.064
0.000 0.000 0.436
0.500 0.500 0.750
```

## Properties
As for the spin magnetization: 0.000 μB per formula unit.

***

Ordering by calculated energy gives the sequence w, z, x, y, with the first entry being the most stable.

***

w.
DFT (PBE) results for crystalline KBe2Tl2 at its relaxed geometry.

Geometry as POSCAR:
```
KBe2Tl2
1.0
5.554 0.000 0.000
0.000 5.554 0.000
0.000 0.000 6.288
Be Tl K
2 2 1
direct
0.000 0.500 0.000
0.500 0.000 0.000
0.500 0.500 0.500
0.000 0.000 0.500
0.000 0.000 0.000
```

## Properties
As for the spin magnetization: 0.000 μB per formula unit.

***

x.
DFT (PBE) results for crystalline KBe2Tl2 at its relaxed geometry.

Geometry as POSCAR:
```
KBe2Tl2
1.0
8.238 0.000 0.000
0.000 8.238 0.000
0.000 0.000 3.418
Be Tl K
4 4 2
direct
0.402 0.902 0.000
0.902 0.598 0.000
0.598 0.098 0.000
0.098 0.402 0.000
0.169 0.669 0.500
0.669 0.831 0.500
0.831 0.331 0.500
0.331 0.169 0.500
0.000 0.000 0.000
0.500 0.500 0.000
```

## Properties
As for the spin magnetization: 0.000 μB per formula unit.

***

Ordering by calculated energy gives the sequence x, w, with the first entry being the most stable.

***

w.
DFT (PBE) results for crystalline KBeV at its relaxed geometry.

Geometry as POSCAR:
```
KBeV
1.0
11.894 0.000 0.000
0.000 6.898 0.000
5.947 3.449 2.028
Be K V
2 2 2
direct
0.084 0.000 0.000
0.916 0.000 0.000
0.177 0.500 0.000
0.823 0.500 0.000
0.500 0.365 0.000
0.500 0.635 0.000
```

## Properties
As for the spin magnetization: 0.000 μB per formula unit.

***

x.
DFT (PBE) results for crystalline KBeV at its relaxed geometry.

Geometry as POSCAR:
```
KBeV
1.0
4.197 -0.042 2.383
2.381 4.127 0.766
0.265 1.842 4.453
Be K V
1 1 1
direct
0.000 0.000 0.000
0.250 0.250 0.250
0.750 0.750 0.750
```

## Properties
As for the spin magnetization: 4.139 μB per formula unit.

***

Ordering by calculated energy gives the sequence w, x, with the first entry being the most stable.

***

w.
DFT (PBE) results for crystalline KBeV at its relaxed geometry.

Geometry as POSCAR:
```
KBeV
1.0
4.458 -2.574 0.000
0.000 5.147 0.000
0.000 0.000 5.497
Be K V
2 2 2
direct
0.333 0.667 0.000
0.667 0.333 0.500
0.000 0.000 0.750
0.000 0.000 0.250
0.333 0.667 0.500
0.667 0.333 0.000
```

## Properties
As for the spin magnetization: 3.314 μB per formula unit.

***

x.
DFT (PBE) results for crystalline KBeV at its relaxed geometry.

Geometry as POSCAR:
```
KBeV
1.0
4.371 0.000 0.000
0.000 4.371 0.000
0.000 0.000 8.739
Be K V
2 2 2
direct
0.000 0.000 0.500
0.500 0.500 0.500
0.000 0.500 0.189
0.500 0.000 0.811
0.000 0.500 0.565
0.500 0.000 0.435
```

## Properties
As for the spin magnetization: 1.483 μB per formula unit.

***

y.
DFT (PBE) results for crystalline KBeV at its relaxed geometry.

Geometry as POSCAR:
```
KBeV
1.0
3.875 0.002 -0.007
-0.976 11.489 0.003
-1.920 0.171 3.360
Be K V
2 2 2
direct
0.834 0.001 0.166
0.166 0.999 0.834
0.784 0.676 0.222
0.216 0.324 0.778
0.514 0.087 0.485
0.486 0.913 0.515
```

## Properties
As for the spin magnetization: 0.000 μB per formula unit.

***

Ordering by calculated energy gives the sequence y, x, w, with the first entry being the most stable.